No. 1
# PBE SmSc, relaxed
# Calculated formation energy = 1.837 eV per atom
# VASP energy = -7.37 eV/f.u.
data_SmSc
_chemical_formula_sum 'Sm4 Sc4'
_cell_length_a 6.566
_cell_length_b 6.566
_cell_length_c 6.566
_cell_angle_alpha 90.00
_cell_angle_beta 90.00
_cell_angle_gamma 90.00
_symmetry_space_group_name_H-M 'F -4 3 m'
_symmetry_Int_Tables_number 216
_symmetry_space_group_name_Hall 'F -4 2 3'
loop_
_atom_site_label
_atom_site_type_symbol
_atom_site_fract_x
_atom_site_fract_y
_atom_site_fract_z
_atom_site_occupancy
Sm1 Sm 0.000 0.000 0.000 1
Sc1 Sc 0.250 0.250 0.250 1

No. 2
# PBE GdTcNO, relaxed
# VASP energy = -33.58 eV/f.u.
data_GdTcNO
_chemical_formula_sum 'Gd2 Tc2 N2 O2'
_cell_length_a 3.808
_cell_length_b 5.344
_cell_length_c 5.051
_cell_angle_alpha 90.00
_cell_angle_beta 90.00
_cell_angle_gamma 90.00
_symmetry_space_group_name_H-M 'P m c 21'
_symmetry_Int_Tables_number 26
_symmetry_space_group_name_Hall 'P 2c -2'
loop_
_atom_site_label
_atom_site_type_symbol
_atom_site_fract_x
_atom_site_fract_y
_atom_site_fract_z
_atom_site_occupancy
Gd1 Gd 0.000 0.208 0.000 1
Tc1 Tc 0.500 0.332 0.497 1
N1 N 0.000 0.332 0.496 1
O1 O 0.500 0.017 0.771 1

No. 3
# PBE Zr3Al3Co2Ni, relaxed
# VASP energy = -62.11 eV/f.u.
data_Zr3Al3Co2Ni
_chemical_formula_sum 'Zr3 Al3 Co2 Ni1'
_cell_length_a 6.8929
_cell_length_b 6.8929
_cell_length_c 3.4551
_cell_angle_alpha 90.00
_cell_angle_beta 90.00
_cell_angle_gamma 120.00
_symmetry_space_group_name_H-M 'P -6 2 m'
_symmetry_Int_Tables_number 189
_symmetry_space_group_name_Hall 'P -6 -2'
loop_
_atom_site_label
_atom_site_type_symbol
_atom_site_fract_x
_atom_site_fract_y
_atom_site_fract_z
_atom_site_occupancy
Zr1 Zr 0.0000 0.5859 0.0000 1
Al1 Al 0.0000 0.2496 0.5000 1
Co1 Co 0.3333 0.6667 0.5000 1
Ni1 Ni 0.0000 0.0000 0.0000 1

No. 4
# PBE TmTlCu, relaxed
# VASP energy = -11.08 eV/f.u.
data_TmTlCu
_chemical_formula_sum 'Tm4 Tl4 Cu4'
_cell_length_a 6.493
_cell_length_b 6.493
_cell_length_c 6.493
_cell_angle_alpha 90.00
_cell_angle_beta 90.00
_cell_angle_gamma 90.00
_symmetry_space_group_name_H-M 'F -4 3 m'
_symmetry_Int_Tables_number 216
_symmetry_space_group_name_Hall 'F -4 2 3'
loop_
_atom_site_label
_atom_site_type_symbol
_atom_site_fract_x
_atom_site_fract_y
_atom_site_fract_z
_atom_site_occupancy
Tm1 Tm 0.000 0.000 0.000 1
Tl1 Tl 0.000 0.000 0.500 1
Cu1 Cu 0.250 0.250 0.750 1

No. 5
# PBE HfBPdAu, relaxed
# VASP energy = -24.86 eV/f.u.
data_HfBPdAu
_chemical_formula_sum 'Hf4 B4 Pd4 Au4'
_cell_length_a 6.271
_cell_length_b 6.271
_cell_length_c 6.271
_cell_angle_alpha 90.00
_cell_angle_beta 90.00
_cell_angle_gamma 90.00
_symmetry_space_group_name_H-M 'F -4 3 m'
_symmetry_Int_Tables_number 216
_symmetry_space_group_name_Hall 'F -4 2 3'
loop_
_atom_site_label
_atom_site_type_symbol
_atom_site_fract_x
_atom_site_fract_y
_atom_site_fract_z
_atom_site_occupancy
Hf1 Hf 0.000 0.000 0.000 1
B1 B 0.250 0.250 0.750 1
Pd1 Pd 0.000 0.000 0.500 1
Au1 Au 0.250 0.250 0.250 1

No. 6
# PBE RbNdTmTe3, relaxed
# VASP energy = -27.04 eV/f.u.
data_RbNdTmTe3
_chemical_formula_sum 'Rb4 Nd4 Tm4 Te12'
_cell_length_a 4.757
_cell_length_b 16.825
_cell_length_c 12.140
_cell_angle_alpha 90.00
_cell_angle_beta 90.00
_cell_angle_gamma 90.00
_symmetry_space_group_name_H-M 'C m c m'
_symmetry_Int_Tables_number 63
_symmetry_space_group_name_Hall '-C 2c 2'
loop_
_atom_site_label
_atom_site_type_symbol
_atom_site_fract_x
_atom_site_fract_y
_atom_site_fract_z
_atom_site_occupancy
Rb1 Rb 0.000 0.244 0.250 1
Nd1 Nd 0.000 0.500 0.000 1
Tm1 Tm 0.000 0.035 0.750 1
Te1 Te 0.000 0.129 0.551 1
Te2 Te 0.000 0.433 0.750 1

No. 7
# PBE Dy2ErAl5, relaxed
# VASP energy = -34.88 eV/f.u.
data_Dy2ErAl5
_chemical_formula_sum 'Dy4 Er2 Al10'
_cell_length_a 4.799
_cell_length_b 6.582
_cell_length_c 10.914
_cell_angle_alpha 90.00
_cell_angle_beta 90.00
_cell_angle_gamma 90.00
_symmetry_space_group_name_H-M 'A m m 2'
_symmetry_Int_Tables_number 38
_symmetry_space_group_name_Hall 'A 2 -2'
loop_
_atom_site_label
_atom_site_type_symbol
_atom_site_fract_x
_atom_site_fract_y
_atom_site_fract_z
_atom_site_occupancy
Dy1 Dy 0.000 0.000 0.000 1
Dy2 Dy 0.500 0.000 0.309 1
Er1 Er 0.500 0.000 0.811 1
Al1 Al 0.000 0.000 0.510 1
Al2 Al 0.000 0.233 0.728 1
Al3 Al 0.500 0.220 0.567 1

No. 8
# PBE BeCoTcBi, relaxed
# VASP energy = -22.55 eV/f.u.
data_BeCoTcBi
_chemical_formula_sum 'Be4 Co4 Tc4 Bi4'
_cell_length_a 6.234
_cell_length_b 6.234
_cell_length_c 6.234
_cell_angle_alpha 90.00
_cell_angle_beta 90.00
_cell_angle_gamma 90.00
_symmetry_space_group_name_H-M 'F -4 3 m'
_symmetry_Int_Tables_number 216
_symmetry_space_group_name_Hall 'F -4 2 3'
loop_
_atom_site_label
_atom_site_type_symbol
_atom_site_fract_x
_atom_site_fract_y
_atom_site_fract_z
_atom_site_occupancy
Be1 Be 0.000 0.000 0.000 1
Co1 Co 0.000 0.000 0.500 1
Tc1 Tc 0.250 0.250 0.750 1
Bi1 Bi 0.250 0.250 0.250 1

No. 9
# PBE HfReMo, relaxed
# Calculated formation energy = -0.284 eV per atom
# VASP energy = -34.08 eV/f.u.
data_HfReMo
_chemical_formula_sum 'Hf4 Re4 Mo4'
_cell_length_a 5.302
_cell_length_b 5.324
_cell_length_c 7.510
_cell_angle_alpha 90.00
_cell_angle_beta 90.00
_cell_angle_gamma 90.00
_symmetry_space_group_name_H-M 'I m m a'
_symmetry_Int_Tables_number 74
_symmetry_space_group_name_Hall '-I 2b 2'
loop_
_atom_site_label
_atom_site_type_symbol
_atom_site_fract_x
_atom_site_fract_y
_atom_site_fract_z
_atom_site_occupancy
Hf1 Hf 0.000 0.250 0.127 1
Re1 Re 0.000 0.000 0.500 1
Mo1 Mo 0.250 0.250 0.750 1

No. 10
# PBE Dy2HoAl2Zn3Cd, relaxed
# VASP energy = -29.39 eV/f.u.
data_Dy2HoAl2Zn3Cd
_chemical_formula_sum 'Dy4 Ho2 Al4 Zn6 Cd2'
_cell_length_a 4.466
_cell_length_b 12.115
_cell_length_c 7.010
_cell_angle_alpha 90.00
_cell_angle_beta 90.00
_cell_angle_gamma 90.00
_symmetry_space_group_name_H-M 'A m m 2'
_symmetry_Int_Tables_number 38
_symmetry_space_group_name_Hall 'A 2 -2'
loop_
_atom_site_label
_atom_site_type_symbol
_atom_site_fract_x
_atom_site_fract_y
_atom_site_fract_z
_atom_site_occupancy
Dy1 Dy 0.000 0.216 0.000 1
Ho1 Ho 0.000 0.000 0.352 1
Al1 Al 0.500 0.166 0.284 1
Zn1 Zn 0.500 0.000 0.032 1
Zn2 Zn 0.500 0.124 0.659 1
Cd1 Cd 0.000 0.000 0.783 1

No. 11
# PBE LiGeTe4Au3, relaxed
# VASP energy = -29.75 eV/f.u.
data_LiGeTe4Au3
_chemical_formula_sum 'Li1 Ge1 Te4 Au3'
_cell_length_a 6.378
_cell_length_b 6.378
_cell_length_c 6.378
_cell_angle_alpha 90.00
_cell_angle_beta 90.00
_cell_angle_gamma 90.00
_symmetry_space_group_name_H-M 'P -4 3 m'
_symmetry_Int_Tables_number 215
_symmetry_space_group_name_Hall 'P -4 2 3'
loop_
_atom_site_label
_atom_site_type_symbol
_atom_site_fract_x
_atom_site_fract_y
_atom_site_fract_z
_atom_site_occupancy
Li1 Li 0.000 0.000 0.000 1
Ge1 Ge 0.500 0.500 0.500 1
Te1 Te 0.238 0.238 0.238 1
Au1 Au 0.000 0.500 0.500 1

No. 12
# PBE NaAu3S5, relaxed
# VASP energy = -30.99 eV/f.u.
data_NaAu3S5
_chemical_formula_sum 'Na1 Au3 S5'
_cell_length_a 6.5850
_cell_length_b 6.5850
_cell_length_c 6.0417
_cell_angle_alpha 90.00
_cell_angle_beta 90.00
_cell_angle_gamma 120.00
_symmetry_space_group_name_H-M 'P 6/m m m'
_symmetry_Int_Tables_number 191
_symmetry_space_group_name_Hall '-P 6 2'
loop_
_atom_site_label
_atom_site_type_symbol
_atom_site_fract_x
_atom_site_fract_y
_atom_site_fract_z
_atom_site_occupancy
Na1 Na 0.0000 0.0000 0.0000 1
Au1 Au 0.0000 0.5000 0.5000 1
S1 S 0.0000 0.0000 0.5000 1
S2 S 0.3333 0.6667 0.2501 1

> Which formula does entry 6 have?

RbNdTmTe3

> Number 1 is which compound?

SmSc

> What is the formula in the fifth record?

HfBPdAu